(a)
DFT (meta-GGA SCAN) results for a PBEsol-optimized structure of CuNiOs2.

Geometry as CIF:
```
data_CuNiOs2
_cell_length_a 2.6371
_cell_length_b 2.6371
_cell_length_c 25.2636
_cell_angle_alpha 90.00
_cell_angle_beta 90.00
_cell_angle_gamma 120.00
_symmetry_space_group_name_H-M 'R -3 m'
_symmetry_Int_Tables_number 166
_symmetry_space_group_name_Hall '-R 3 2"'
loop_
_atom_site_label
_atom_site_fract_x
_atom_site_fract_y
_atom_site_fract_z
_atom_site_occupancy
Cu1 0.0000 0.0000 0.0000 1
Ni1 0.0000 0.0000 0.5000 1
Os1 0.0000 0.0000 0.2478 1
```

Calculated values
Crystal system   trigonal

(b)
DFT (meta-GGA SCAN) results for a PBEsol-optimized structure of CuNiOs2.

Geometry as CIF:
```
data_CuNiOs2
_cell_length_a 2.7180
_cell_length_b 4.3316
_cell_length_c 4.3837
_cell_angle_alpha 90.00
_cell_angle_beta 90.00
_cell_angle_gamma 90.00
_symmetry_space_group_name_H-M 'P m m m'
_symmetry_Int_Tables_number 47
_symmetry_space_group_name_Hall '-P 2 2'
loop_
_atom_site_label
_atom_site_fract_x
_atom_site_fract_y
_atom_site_fract_z
_atom_site_occupancy
Cu1 0.0000 0.0000 0.0000 1
Ni1 0.5000 0.0000 0.5000 1
Os1 0.0000 0.5000 0.5000 1
Os2 0.5000 0.5000 0.0000 1
```

Calculated values
Crystal system   orthorhombic

Stability summary - winner: (a); margin: 19.8 kJ/mol of atoms.

(a)
DFT (meta-GGA SCAN) results for a PBEsol-optimized structure of CuNiPt.

Geometry as CIF:
```
data_CuNiPt
_cell_length_a 2.6773
_cell_length_b 2.6773
_cell_length_c 10.3154
_cell_angle_alpha 90.00
_cell_angle_beta 90.00
_cell_angle_gamma 90.00
_symmetry_space_group_name_H-M 'I 4 m m'
_symmetry_Int_Tables_number 107
_symmetry_space_group_name_Hall 'I 4 -2'
loop_
_atom_site_label
_atom_site_fract_x
_atom_site_fract_y
_atom_site_fract_z
_atom_site_occupancy
Cu1 0.0000 0.0000 0.0000 1
Ni1 0.0000 0.0000 0.6539 1
Pt1 0.0000 0.0000 0.3234 1
```

Calculated values
Crystal system   tetragonal

(b)
DFT (meta-GGA SCAN) results for a PBEsol-optimized structure of CuNiPt.

Geometry as CIF:
```
data_CuNiPt
_cell_length_a 2.6502
_cell_length_b 3.5930
_cell_length_c 7.7919
_cell_angle_alpha 90.00
_cell_angle_beta 90.00
_cell_angle_gamma 90.00
_symmetry_space_group_name_H-M 'I m m 2'
_symmetry_Int_Tables_number 44
_symmetry_space_group_name_Hall 'I 2 -2'
loop_
_atom_site_label
_atom_site_fract_x
_atom_site_fract_y
_atom_site_fract_z
_atom_site_occupancy
Cu1 0.0000 0.0000 0.0000 1
Ni1 0.0000 0.0000 0.3384 1
Pt1 0.0000 0.0000 0.6713 1
```

Calculated values
Crystal system   orthorhombic

Stability summary - winner: (b); margin: 5.8 kJ/mol of atoms.

(a)
DFT (meta-GGA SCAN) results for a PBEsol-optimized structure of CuRe2Ni.

Geometry as CIF:
```
data_CuRe2Ni
_cell_length_a 3.7141
_cell_length_b 3.7141
_cell_length_c 7.4033
_cell_angle_alpha 90.00
_cell_angle_beta 90.00
_cell_angle_gamma 90.00
_symmetry_space_group_name_H-M 'I -4 m 2'
_symmetry_Int_Tables_number 119
_symmetry_space_group_name_Hall 'I -4 -2'
loop_
_atom_site_label
_atom_site_fract_x
_atom_site_fract_y
_atom_site_fract_z
_atom_site_occupancy
Cu1 0.0000 0.0000 0.0000 1
Re1 0.0000 0.0000 0.5000 1
Re2 0.0000 0.5000 0.7500 1
Ni1 0.0000 0.5000 0.2500 1
```

Calculated values
Crystal system   tetragonal

(b)
DFT (meta-GGA SCAN) results for a PBEsol-optimized structure of CuRe2Ni.

Geometry as CIF:
```
data_CuRe2Ni
_cell_length_a 2.5719
_cell_length_b 3.8511
_cell_length_c 5.1499
_cell_angle_alpha 90.00
_cell_angle_beta 90.00
_cell_angle_gamma 90.00
_symmetry_space_group_name_H-M 'P m m m'
_symmetry_Int_Tables_number 47
_symmetry_space_group_name_Hall '-P 2 2'
loop_
_atom_site_label
_atom_site_fract_x
_atom_site_fract_y
_atom_site_fract_z
_atom_site_occupancy
Cu1 0.0000 0.0000 0.0000 1
Re1 0.5000 0.5000 0.2553 1
Ni1 0.0000 0.0000 0.5000 1
```

Calculated values
Crystal system   orthorhombic

Stability summary - winner: (a); margin: 8.7 kJ/mol of atoms.

(a)
DFT (meta-GGA SCAN) results for a PBEsol-optimized structure of Cu2ReNi.

Geometry as CIF:
```
data_Cu2ReNi
_cell_length_a 2.5408
_cell_length_b 3.6558
_cell_length_c 5.1780
_cell_angle_alpha 90.00
_cell_angle_beta 90.00
_cell_angle_gamma 90.00
_symmetry_space_group_name_H-M 'P m m 2'
_symmetry_Int_Tables_number 25
_symmetry_space_group_name_Hall 'P 2 -2'
loop_
_atom_site_label
_atom_site_fract_x
_atom_site_fract_y
_atom_site_fract_z
_atom_site_occupancy
Cu1 0.0000 0.0000 0.0000 1
Cu2 0.5000 0.5000 0.2303 1
Re1 0.5000 0.5000 0.7217 1
Ni1 0.0000 0.0000 0.4996 1
```

Calculated values
Crystal system   orthorhombic

(b)
DFT (meta-GGA SCAN) results for a PBEsol-optimized structure of Cu2ReNi.

Geometry as CIF:
```
data_Cu2ReNi
_cell_length_a 8.4139
_cell_length_b 2.5306
_cell_length_c 4.5671
_cell_angle_alpha 90.00
_cell_angle_beta 98.34
_cell_angle_gamma 90.00
_symmetry_space_group_name_H-M 'C 1 m 1'
_symmetry_Int_Tables_number 8
_symmetry_space_group_name_Hall 'C -2y'
loop_
_atom_site_label
_atom_site_fract_x
_atom_site_fract_y
_atom_site_fract_z
_atom_site_occupancy
Cu1 0.0000 0.0000 0.0000 1
Cu2 0.2492 0.0000 0.7799 1
Re1 0.2543 0.5000 0.2868 1
Ni1 0.0028 0.5000 0.4959 1
```

Calculated values
Crystal system   monoclinic

Stability summary - winner: (a); margin: 1.8 kJ/mol of atoms.

(a)
DFT (meta-GGA SCAN) results for a PBEsol-optimized structure of Cu2NiRh.

Geometry as CIF:
```
data_Cu2NiRh
_cell_length_a 2.6142
_cell_length_b 4.3045
_cell_length_c 8.4658
_cell_angle_alpha 90.00
_cell_angle_beta 90.00
_cell_angle_gamma 90.00
_symmetry_space_group_name_H-M 'C m m m'
_symmetry_Int_Tables_number 65
_symmetry_space_group_name_Hall '-C 2 2'
loop_
_atom_site_label
_atom_site_fract_x
_atom_site_fract_y
_atom_site_fract_z
_atom_site_occupancy
Cu1 0.0000 0.0000 0.2390 1
Ni1 0.0000 0.5000 0.0000 1
Rh1 0.0000 0.5000 0.5000 1
```

Calculated values
Crystal system   orthorhombic

(b)
DFT (meta-GGA SCAN) results for a PBEsol-optimized structure of Cu2NiRh.

Geometry as CIF:
```
data_Cu2NiRh
_cell_length_a 8.4902
_cell_length_b 2.5634
_cell_length_c 4.3779
_cell_angle_alpha 90.00
_cell_angle_beta 100.96
_cell_angle_gamma 90.00
_symmetry_space_group_name_H-M 'C 1 2/m 1'
_symmetry_Int_Tables_number 12
_symmetry_space_group_name_Hall '-C 2y'
loop_
_atom_site_label
_atom_site_fract_x
_atom_site_fract_y
_atom_site_fract_z
_atom_site_occupancy
Cu1 0.2469 0.0000 0.2433 1
Ni1 0.0000 0.5000 0.0000 1
Rh1 0.0000 0.0000 0.5000 1
```

Calculated values
Crystal system   monoclinic

(c)
DFT (meta-GGA SCAN) results for a PBEsol-optimized structure of Cu2NiRh.

Geometry as CIF:
```
data_Cu2NiRh
_cell_length_a 5.0634
_cell_length_b 7.2517
_cell_length_c 2.5620
_cell_angle_alpha 90.00
_cell_angle_beta 90.00
_cell_angle_gamma 90.00
_symmetry_space_group_name_H-M 'C m m m'
_symmetry_Int_Tables_number 65
_symmetry_space_group_name_Hall '-C 2 2'
loop_
_atom_site_label
_atom_site_fract_x
_atom_site_fract_y
_atom_site_fract_z
_atom_site_occupancy
Cu1 0.2500 0.2500 0.0000 1
Ni1 0.0000 0.0000 0.5000 1
Rh1 0.0000 0.5000 0.5000 1
```

Calculated values
Crystal system   orthorhombic

Stability summary - winner: (b); margin: 4.4 kJ/mol of atoms.

(a)
DFT (meta-GGA SCAN) results for a PBEsol-optimized structure of SrCuNi.

Geometry as CIF:
```
data_SrCuNi
_cell_length_a 6.3395
_cell_length_b 6.3395
_cell_length_c 6.3395
_cell_angle_alpha 90.00
_cell_angle_beta 90.00
_cell_angle_gamma 90.00
_symmetry_space_group_name_H-M 'F -4 3 m'
_symmetry_Int_Tables_number 216
_symmetry_space_group_name_Hall 'F -4 2 3'
loop_
_atom_site_label
_atom_site_fract_x
_atom_site_fract_y
_atom_site_fract_z
_atom_site_occupancy
Sr1 0.0000 0.0000 0.0000 1
Cu1 0.2500 0.2500 0.7500 1
Ni1 0.0000 0.0000 0.5000 1
```

Calculated values
Crystal system   cubic

(b)
DFT (meta-GGA SCAN) results for a PBEsol-optimized structure of SrCuNi.

Geometry as CIF:
```
data_SrCuNi
_cell_length_a 4.0702
_cell_length_b 4.0702
_cell_length_c 4.2040
_cell_angle_alpha 90.00
_cell_angle_beta 90.00
_cell_angle_gamma 120.00
_symmetry_space_group_name_H-M 'P -6 m 2'
_symmetry_Int_Tables_number 187
_symmetry_space_group_name_Hall 'P -6 2'
loop_
_atom_site_label
_atom_site_fract_x
_atom_site_fract_y
_atom_site_fract_z
_atom_site_occupancy
Sr1 0.0000 0.0000 0.0000 1
Cu1 0.6667 0.3333 0.5000 1
Ni1 0.3333 0.6667 0.5000 1
```

Calculated values
Crystal system   hexagonal

Stability summary - winner: (b); margin: 42.2 kJ/mol of atoms.

(a)
DFT (meta-GGA SCAN) results for a PBEsol-optimized structure of CuTcNi2.

Geometry as CIF:
```
data_CuTcNi2
_cell_length_a 2.5610
_cell_length_b 2.5610
_cell_length_c 6.9828
_cell_angle_alpha 90.00
_cell_angle_beta 90.00
_cell_angle_gamma 90.00
_symmetry_space_group_name_H-M 'P 4/m m m'
_symmetry_Int_Tables_number 123
_symmetry_space_group_name_Hall '-P 4 2'
loop_
_atom_site_label
_atom_site_fract_x
_atom_site_fract_y
_atom_site_fract_z
_atom_site_occupancy
Cu1 0.0000 0.0000 0.0000 1
Tc1 0.0000 0.0000 0.5000 1
Ni1 0.5000 0.5000 0.2434 1
```

Calculated values
Crystal system   tetragonal

(b)
DFT (meta-GGA SCAN) results for a PBEsol-optimized structure of CuTcNi2.

Geometry as CIF:
```
data_CuTcNi2
_cell_length_a 8.4015
_cell_length_b 2.5063
_cell_length_c 4.4235
_cell_angle_alpha 90.00
_cell_angle_beta 99.18
_cell_angle_gamma 90.00
_symmetry_space_group_name_H-M 'C 1 m 1'
_symmetry_Int_Tables_number 8
_symmetry_space_group_name_Hall 'C -2y'
loop_
_atom_site_label
_atom_site_fract_x
_atom_site_fract_y
_atom_site_fract_z
_atom_site_occupancy
Cu1 0.0000 0.0000 0.0000 1
Tc1 0.2560 0.5000 0.2858 1
Ni1 0.0048 0.5000 0.5060 1
Ni2 0.2500 0.0000 0.7790 1
```

Calculated values
Crystal system   monoclinic

Stability summary - winner: (a); margin: 9.0 kJ/mol of atoms.

(a)
DFT (meta-GGA SCAN) results for a PBEsol-optimized structure of Cu3O4.

Geometry as CIF:
```
data_Cu3O4
_cell_length_a 8.8650
_cell_length_b 8.8650
_cell_length_c 8.8650
_cell_angle_alpha 90.00
_cell_angle_beta 90.00
_cell_angle_gamma 90.00
_symmetry_space_group_name_H-M 'F m -3 m'
_symmetry_Int_Tables_number 225
_symmetry_space_group_name_Hall '-F 4 2 3'
loop_
_atom_site_label
_atom_site_fract_x
_atom_site_fract_y
_atom_site_fract_z
_atom_site_occupancy
Cu1 0.0000 0.2500 0.2500 1
O1 0.1424 0.1424 0.1424 1
```

Calculated values
Crystal system   cubic

(b)
DFT (meta-GGA SCAN) results for a PBEsol-optimized structure of Cu3O4.

Geometry as CIF:
```
data_Cu3O4
_cell_length_a 6.8969
_cell_length_b 7.3337
_cell_length_c 5.9944
_cell_angle_alpha 90.00
_cell_angle_beta 90.00
_cell_angle_gamma 90.00
_symmetry_space_group_name_H-M 'I b a m'
_symmetry_Int_Tables_number 72
_symmetry_space_group_name_Hall '-I 2 2c'
loop_
_atom_site_label
_atom_site_fract_x
_atom_site_fract_y
_atom_site_fract_z
_atom_site_occupancy
Cu1 0.0000 0.0000 0.0000 1
Cu2 0.2500 0.2500 0.2500 1
O1 0.0885 0.2572 0.0000 1
O2 0.1881 0.0000 0.2500 1
```

Calculated values
Crystal system   orthorhombic

Stability summary - winner: (b); margin: 10.8 kJ/mol of atoms.

(a)
DFT (meta-GGA SCAN) results for a PBEsol-optimized structure of Cu4P2O9.

Geometry as CIF:
```
data_Cu4P2O9
_cell_length_a 6.1934
_cell_length_b 7.5365
_cell_length_c 8.0164
_cell_angle_alpha 99.33
_cell_angle_beta 111.66
_cell_angle_gamma 97.92
_symmetry_space_group_name_H-M 'P -1'
_symmetry_Int_Tables_number 2
_symmetry_space_group_name_Hall '-P 1'
loop_
_atom_site_label
_atom_site_fract_x
_atom_site_fract_y
_atom_site_fract_z
_atom_site_occupancy
Cu1 0.1011 0.3619 0.2354 1
Cu2 0.1551 0.8850 0.5903 1
Cu3 0.3497 0.8290 0.0628 1
Cu4 0.3728 0.6011 0.7504 1
P1 0.1300 0.2347 0.8493 1
P2 0.4987 0.2857 0.5802 1
O1 0.0085 0.0828 0.6667 1
O2 0.0259 0.7705 0.0359 1
O3 0.1625 0.4285 0.8138 1
O4 0.2009 0.7796 0.8006 1
O5 0.2426 0.2973 0.4689 1
O6 0.3544 0.7227 0.5403 1
O7 0.3661 0.1902 0.9752 1
O8 0.3832 0.5312 0.2610 1
O9 0.4953 0.8771 0.3254 1
```

Calculated values
Crystal system   triclinic

(b)
DFT (meta-GGA SCAN) results for a PBEsol-optimized structure of Cu4P2O9.

Geometry as CIF:
```
data_Cu4P2O9
_cell_length_a 8.0738
_cell_length_b 6.2515
_cell_length_c 13.3653
_cell_angle_alpha 90.00
_cell_angle_beta 90.00
_cell_angle_gamma 90.00
_symmetry_space_group_name_H-M 'P n m a'
_symmetry_Int_Tables_number 62
_symmetry_space_group_name_Hall '-P 2ac 2n'
loop_
_atom_site_label
_atom_site_fract_x
_atom_site_fract_y
_atom_site_fract_z
_atom_site_occupancy
Cu1 0.0657 0.2500 0.0878 1
Cu2 0.1423 0.7500 0.4468 1
Cu3 0.1472 0.0082 0.6568 1
P1 0.0027 0.7500 0.1557 1
P2 0.1522 0.2500 0.4140 1
O1 0.0858 0.0435 0.3613 1
O2 0.0939 0.2500 0.5256 1
O3 0.1006 0.2500 0.7449 1
O4 0.1130 0.5478 0.1504 1
O5 0.1199 0.2500 0.9327 1
O6 0.1621 0.7500 0.9064 1
O7 0.1980 0.7500 0.5926 1
```

Calculated values
Crystal system   orthorhombic

Stability summary - winner: (a); margin: 3.8 kJ/mol of atoms.

(a)
DFT (meta-GGA SCAN) results for a PBEsol-optimized structure of ZnCuP2O7.

Geometry as CIF:
```
data_ZnCuP2O7
_cell_length_a 6.7088
_cell_length_b 8.1976
_cell_length_c 4.5469
_cell_angle_alpha 90.00
_cell_angle_beta 107.56
_cell_angle_gamma 90.00
_symmetry_space_group_name_H-M 'C 1 2 1'
_symmetry_Int_Tables_number 5
_symmetry_space_group_name_Hall 'C 2y'
loop_
_atom_site_label
_atom_site_fract_x
_atom_site_fract_y
_atom_site_fract_z
_atom_site_occupancy
Zn1 0.0000 0.0000 0.0000 1
Cu1 0.0000 0.3790 0.0000 1
P1 0.2081 0.6863 0.4071 1
O1 0.0000 0.6708 0.5000 1
O2 0.1158 0.1913 0.2814 1
O3 0.2073 0.8416 0.2274 1
O4 0.2186 0.5318 0.2208 1
```

Calculated values
Crystal system   monoclinic

(b)
DFT (meta-GGA SCAN) results for a PBEsol-optimized structure of ZnCuP2O7.

Geometry as CIF:
```
data_ZnCuP2O7
_cell_length_a 6.8911
_cell_length_b 8.2245
_cell_length_c 9.0566
_cell_angle_alpha 90.00
_cell_angle_beta 111.63
_cell_angle_gamma 90.00
_symmetry_space_group_name_H-M 'P 1 21/c 1'
_symmetry_Int_Tables_number 14
_symmetry_space_group_name_Hall '-P 2ybc'
loop_
_atom_site_label
_atom_site_fract_x
_atom_site_fract_y
_atom_site_fract_z
_atom_site_occupancy
Zn1 0.2362 0.0650 0.1062 1
Cu1 0.2833 0.0596 0.6572 1
P1 0.0522 0.7343 0.7364 1
P2 0.4548 0.7266 0.0260 1
O1 0.0181 0.5975 0.6149 1
O2 0.0978 0.6029 0.1806 1
O3 0.1327 0.2428 0.7057 1
O4 0.2433 0.6718 0.8888 1
O5 0.3772 0.2344 0.5492 1
O6 0.4321 0.6093 0.5938 1
O7 0.4966 0.5866 0.1465 1
```

Calculated values
Crystal system   monoclinic

Stability summary - winner: (b); margin: 1.6 kJ/mol of atoms.